Record 1
A geometry-optimized CoBr2Cl structure, computed with GGA-PBE.

```
data_CoBr2Cl
_chemical_formula_sum 'Co1 Br2 Cl1'
_cell_length_a 5.297
_cell_length_b 5.297
_cell_length_c 8.600
_cell_angle_alpha 90.00
_cell_angle_beta 90.00
_cell_angle_gamma 142.43
_symmetry_space_group_name_H-M 'P 1'
_symmetry_Int_Tables_number 1
loop_
_symmetry_equiv_pos_as_xyz
'x,y,z'
loop_
_atom_site_label
_atom_site_type_symbol
_atom_site_fract_x
_atom_site_fract_y
_atom_site_fract_z
_atom_site_occupancy
Co1 Co 0.000 0.000 0.000 1
Br1 Br 0.500 0.500 0.186 1
Br2 Br 0.500 0.500 0.814 1
Cl1 Cl 0.000 0.000 0.500 1
```

Properties
ρ   2.87 Mg/m³
Total magnetic moment   1.9 Bohr magnetons per cell
Formation energy without anion corrections   0.06 eV/atom
Distance to the lowest polymorph of the same formula   385.9 meV per atom

Record 2
A geometry-optimized Pr5Hg2Os structure, computed with GGA-PBE.

```
data_Pr5Hg2Os
_chemical_formula_sum 'Pr10 Hg4 Os2'
_cell_length_a 8.109
_cell_length_b 12.281
_cell_length_c 4.848
_cell_angle_alpha 90.00
_cell_angle_beta 90.00
_cell_angle_gamma 90.00
_symmetry_space_group_name_H-M 'P 1'
_symmetry_Int_Tables_number 1
loop_
_symmetry_equiv_pos_as_xyz
'x,y,z'
loop_
_atom_site_label
_atom_site_type_symbol
_atom_site_fract_x
_atom_site_fract_y
_atom_site_fract_z
_atom_site_occupancy
Pr1 Pr 0.000 0.000 0.000 1
Pr2 Pr 0.147 0.297 0.000 1
Pr3 Pr 0.181 0.573 0.500 1
Pr4 Pr 0.319 0.073 0.500 1
Pr5 Pr 0.353 0.797 0.000 1
Pr6 Pr 0.500 0.500 0.000 1
Pr7 Pr 0.647 0.203 0.000 1
Pr8 Pr 0.681 0.927 0.500 1
Pr9 Pr 0.819 0.427 0.500 1
Pr10 Pr 0.853 0.703 0.000 1
Hg1 Hg 0.071 0.832 0.500 1
Hg2 Hg 0.429 0.332 0.500 1
Hg3 Hg 0.571 0.668 0.500 1
Hg4 Hg 0.929 0.168 0.500 1
Os1 Os 0.000 0.500 0.000 1
Os2 Os 0.500 0.000 0.000 1
```

Properties
ρ   8.91 Mg/m³
Total magnetic moment   0.0 Bohr magnetons per cell
Formation energy   -2.2 eV per formula unit

Record 3
A geometry-optimized Mn2AsRh structure, computed with GGA-PBE.

```
data_Mn2AsRh
_chemical_formula_sum 'Mn2 As1 Rh1'
_cell_length_a 2.820
_cell_length_b 2.820
_cell_length_c 6.337
_cell_angle_alpha 90.00
_cell_angle_beta 90.00
_cell_angle_gamma 90.00
_symmetry_space_group_name_H-M 'P 1'
_symmetry_Int_Tables_number 1
loop_
_symmetry_equiv_pos_as_xyz
'x,y,z'
loop_
_atom_site_label
_atom_site_type_symbol
_atom_site_fract_x
_atom_site_fract_y
_atom_site_fract_z
_atom_site_occupancy
Mn1 Mn 0.000 0.000 0.225 1
Mn2 Mn 0.000 0.000 0.775 1
As1 As 0.500 0.500 0.000 1
Rh1 Rh 0.500 0.500 0.500 1
```

Properties
ρ   9.48 Mg/m³
Total magnetic moment   1.4 Bohr magnetons per cell
Formation energy   0.3 eV per formula unit

Record 4
A geometry-optimized Cd2Pd3Pb structure, computed with GGA-PBE.

```
data_Cd2Pd3Pb
_chemical_formula_sum 'Cd2 Pd3 Pb1'
_cell_length_a 3.330
_cell_length_b 3.330
_cell_length_c 10.067
_cell_angle_alpha 90.00
_cell_angle_beta 90.00
_cell_angle_gamma 90.00
_symmetry_space_group_name_H-M 'P 1'
_symmetry_Int_Tables_number 1
loop_
_symmetry_equiv_pos_as_xyz
'x,y,z'
loop_
_atom_site_label
_atom_site_type_symbol
_atom_site_fract_x
_atom_site_fract_y
_atom_site_fract_z
_atom_site_occupancy
Cd1 Cd 0.000 0.000 0.158 1
Cd2 Cd 0.000 0.000 0.842 1
Pd1 Pd 0.500 0.500 0.000 1
Pd2 Pd 0.500 0.500 0.317 1
Pd3 Pd 0.500 0.500 0.683 1
Pb1 Pb 0.000 0.000 0.500 1
```

Properties
ρ   11.18 Mg/m³
Total magnetic moment   0.0 Bohr magnetons per cell
Formation energy   -1.9 eV per formula unit

Record 5
A geometry-optimized TmNbCo4 structure, computed with GGA-PBE.

```
data_TmNbCo4
_chemical_formula_sum 'Tm1 Nb1 Co4'
_cell_length_a 4.877
_cell_length_b 4.877
_cell_length_c 4.877
_cell_angle_alpha 60.00
_cell_angle_beta 60.00
_cell_angle_gamma 60.00
_symmetry_space_group_name_H-M 'P 1'
_symmetry_Int_Tables_number 1
loop_
_symmetry_equiv_pos_as_xyz
'x,y,z'
loop_
_atom_site_label
_atom_site_type_symbol
_atom_site_fract_x
_atom_site_fract_y
_atom_site_fract_z
_atom_site_occupancy
Tm1 Tm 0.000 0.000 0.000 1
Nb1 Nb 0.250 0.250 0.250 1
Co1 Co 0.124 0.625 0.625 1
Co2 Co 0.625 0.124 0.625 1
Co3 Co 0.625 0.625 0.124 1
Co4 Co 0.625 0.625 0.625 1
```

Properties
ρ   10.08 Mg/m³
Total magnetic moment   1.8 Bohr magnetons per cell
Formation energy   -0.9 eV per formula unit

Record 6
A geometry-optimized La2NdFeN4 structure, computed with GGA-PBE.

```
data_La2NdFeN4
_chemical_formula_sum 'La4 Nd2 Fe2 N8'
_cell_length_a 6.315
_cell_length_b 6.315
_cell_length_c 12.323
_cell_angle_alpha 90.00
_cell_angle_beta 90.00
_cell_angle_gamma 147.67
_symmetry_space_group_name_H-M 'P 1'
_symmetry_Int_Tables_number 1
loop_
_symmetry_equiv_pos_as_xyz
'x,y,z'
loop_
_atom_site_label
_atom_site_type_symbol
_atom_site_fract_x
_atom_site_fract_y
_atom_site_fract_z
_atom_site_occupancy
La1 La 0.132 0.868 0.543 1
La2 La 0.132 0.868 0.957 1
La3 La 0.868 0.132 0.043 1
La4 La 0.868 0.132 0.457 1
Nd1 Nd 0.373 0.627 0.750 1
Nd2 Nd 0.627 0.373 0.250 1
Fe1 Fe 0.335 0.665 0.250 1
Fe2 Fe 0.665 0.335 0.750 1
N1 N 0.108 0.892 0.750 1
N2 N 0.227 0.773 0.139 1
N3 N 0.227 0.773 0.361 1
N4 N 0.500 0.500 0.000 1
N5 N 0.500 0.500 0.500 1
N6 N 0.773 0.227 0.639 1
N7 N 0.773 0.227 0.861 1
N8 N 0.892 0.108 0.250 1
```

Properties
ρ   6.75 Mg/m³
Total magnetic moment   0.0 Bohr magnetons per cell
Formation energy without anion corrections   -0.88 eV/atom

Record 7
A geometry-optimized Zn2CuBi structure, computed with GGA-PBE.

```
data_Zn2CuBi
_chemical_formula_sum 'Zn4 Cu2 Bi2'
_cell_length_a 9.356
_cell_length_b 9.356
_cell_length_c 9.356
_cell_angle_alpha 153.40
_cell_angle_beta 153.40
_cell_angle_gamma 37.98
_symmetry_space_group_name_H-M 'P 1'
_symmetry_Int_Tables_number 1
loop_
_symmetry_equiv_pos_as_xyz
'x,y,z'
loop_
_atom_site_label
_atom_site_type_symbol
_atom_site_fract_x
_atom_site_fract_y
_atom_site_fract_z
_atom_site_occupancy
Zn1 Zn 0.031 0.625 0.906 1
Zn2 Zn 0.375 0.281 0.406 1
Zn3 Zn 0.719 0.125 0.094 1
Zn4 Zn 0.875 0.969 0.594 1
Cu1 Cu 0.000 0.000 0.000 1
Cu2 Cu 0.750 0.250 0.500 1
Bi1 Bi 0.250 0.750 0.500 1
Bi2 Bi 0.500 0.500 0.000 1
```

Properties
ρ   8.17 Mg/m³
Total magnetic moment   0.0 Bohr magnetons per cell
Formation energy   0.7 eV per formula unit